<one>
Ta2AlTe | PBE-GGA | optimized geometry

Cell and atoms, written as POSCAR:
```
Ta2AlTe
1.0
-3.263 -1.790 2.953
-2.752 -3.607 -1.407
0.609 -4.323 1.873
Al Te Ta
1 1 2
Direct
0.500 0.500 0.500
0.750 0.750 0.750
0.000 0.000 0.000
0.250 0.250 0.250
```

Computed properties:
The space group is F-43m.

---

<two>
Ta2AlTe | PBE-GGA | optimized geometry

Cell and atoms, written as POSCAR:
```
Ta2AlTe
1.0
-4.606 -2.736 0.076
-1.588 -1.171 4.982
1.158 4.108 -3.239
Ta Al Te
2 1 1
Direct
0.495 0.495 0.000
0.005 0.005 0.000
0.250 0.750 0.500
0.750 0.250 0.500
```

Computed properties:
The space group is Immm.

---

Q: Which of them is the least stable? A: <one>.

---

<one>
Ta2AlTe | PBE-GGA | optimized geometry

Cell and atoms, written as POSCAR:
```
Ta2AlTe
1.0
-1.610 1.891 8.735
-4.070 -0.193 8.116
-1.102 -1.349 8.913
Ta Al Te
2 1 1
Direct
0.253 0.253 0.253
0.997 0.997 0.997
0.742 0.742 0.742
0.508 0.508 0.508
```

Computed properties:
The space group is R3m.

---

<two>
Ta2AlTe | PBE-GGA | optimized geometry

Cell and atoms, written as POSCAR:
```
Ta2AlTe
1.0
5.265 0.003 0.000
2.049 4.849 0.000
-3.657 -2.426 2.908
Ta Te Al
2 1 1
Direct
0.250 0.750 0.500
0.000 0.000 0.000
0.500 0.500 0.000
0.750 0.250 0.500
```

Computed properties:
The space group is I-4m2.

---

Q: Which of them is the least stable? A: <two>.

---

<one>
TaAlTe3 | PBE-GGA | optimized geometry

Cell and atoms, written as POSCAR:
```
TaAlTe3
1.0
5.194 0.000 0.000
0.000 5.194 0.000
0.000 0.000 5.194
Te Ta Al
3 1 1
Direct
0.500 0.000 0.000
0.000 0.000 0.500
0.000 0.500 0.000
0.500 0.500 0.500
0.000 0.000 0.000
```

Computed properties:
The space group is Pm-3m.

---

<two>
TaAlTe3 | PBE-GGA | optimized geometry

Cell and atoms, written as POSCAR:
```
TaAlTe3
1.0
5.453 0.000 0.000
0.000 5.453 0.000
0.000 0.000 5.453
Ta Te Al
1 3 1
Direct
0.000 0.000 0.000
0.000 0.000 0.500
0.000 0.500 0.000
0.500 0.000 0.000
0.500 0.500 0.500
```

Computed properties:
The space group is Pm-3m.

---

Q: Which of them is the least stable? A: <one>.

---

<one>
TaTiAl3 | PBE-GGA | optimized geometry

Cell and atoms, written as POSCAR:
```
TaTiAl3
1.0
4.667 0.000 0.000
0.000 4.667 0.000
0.000 0.000 4.667
Al Ti Ta
3 1 1
Direct
0.000 0.000 0.500
0.000 0.500 0.000
0.500 0.000 0.000
0.000 0.000 0.000
0.500 0.500 0.500
```

Computed properties:
The space group is Pm-3m.

---

<two>
TaTiAl3 | PBE-GGA | optimized geometry

Cell and atoms, written as POSCAR:
```
TaTiAl3
1.0
3.871 0.000 0.000
-1.936 7.450 -0.309
0.000 -0.765 5.720
Al Ta Ti
6 2 2
Direct
0.396 0.791 0.953
0.800 0.600 0.654
0.002 0.005 0.754
0.998 0.995 0.246
0.200 0.400 0.346
0.604 0.209 0.047
0.400 0.800 0.460
0.600 0.200 0.540
0.796 0.591 0.161
0.204 0.409 0.839
```

Computed properties:
The space group is C2/m.

---

<three>
TaTiAl3 | PBE-GGA | optimized geometry

Cell and atoms, written as POSCAR:
```
TaTiAl3
1.0
4.915 0.000 0.000
0.000 4.915 0.000
0.000 0.000 4.915
Ti Al Ta
1 3 1
Direct
0.500 0.500 0.500
0.500 0.000 0.000
0.000 0.500 0.000
0.000 0.000 0.500
0.000 0.000 0.000
```

Computed properties:
The space group is Pm-3m.

---

Q: Which of them is the least stable? A: <one>.

---

<one>
Ta3TiAl | PBE-GGA | optimized geometry

Cell and atoms, written as POSCAR:
```
Ta3TiAl
1.0
4.684 0.000 0.000
0.000 4.684 0.000
0.000 0.000 4.684
Ta Ti Al
3 1 1
Direct
0.000 0.000 0.500
0.000 0.500 0.000
0.500 0.000 0.000
0.000 0.000 0.000
0.500 0.500 0.500
```

Computed properties:
The space group is Pm-3m.

---

<two>
Ta3TiAl | PBE-GGA | optimized geometry

Cell and atoms, written as POSCAR:
```
Ta3TiAl
1.0
-4.040 0.419 2.366
2.341 -0.360 4.060
0.543 4.668 0.101
Ta Ti Al
3 1 1
Direct
0.000 0.000 0.500
0.000 0.500 0.000
0.500 0.000 0.000
0.500 0.500 0.500
0.000 0.000 0.000
```

Computed properties:
The space group is Pm-3m.

---

Q: Which of them is the least stable? A: <one>.

---

<one>
TaAlTl2 | PBE-GGA | optimized geometry

Cell and atoms, written as POSCAR:
```
TaAlTl2
1.0
-5.034 -0.181 0.117
-2.375 -4.414 -0.519
-2.355 -2.073 3.943
Ta Tl Al
1 2 1
Direct
0.750 0.750 0.750
0.250 0.250 0.250
0.000 0.000 0.000
0.500 0.500 0.500
```

Computed properties:
The space group is F-43m.

---

<two>
TaAlTl2 | PBE-GGA | optimized geometry

Cell and atoms, written as POSCAR:
```
TaAlTl2
1.0
-7.141 6.580 -0.957
-8.425 4.731 1.360
-6.356 7.088 2.135
Tl Al Ta
2 1 1
Direct
0.500 0.500 0.500
0.000 0.000 0.000
0.250 0.250 0.250
0.750 0.750 0.750
```

Computed properties:
The space group is R-3m.

---

Q: Which of them is the least stable? A: <one>.

---

<one>
TaAlTl2 | PBE-GGA | optimized geometry

Cell and atoms, written as POSCAR:
```
TaAlTl2
1.0
7.882 0.000 0.000
0.000 7.882 0.000
3.941 3.941 2.919
Al Tl Ta
2 4 2
Direct
0.250 0.750 0.500
0.500 0.500 0.000
0.375 0.385 0.750
0.135 0.625 0.250
0.875 0.865 0.750
0.615 0.125 0.250
0.750 0.250 0.500
0.000 0.000 0.000
```

Computed properties:
The space group is I-42d.

---

<two>
TaAlTl2 | PBE-GGA | optimized geometry

Cell and atoms, written as POSCAR:
```
TaAlTl2
1.0
-2.019 -0.157 3.101
2.355 -1.213 1.472
6.076 5.923 4.255
Al Tl Ta
1 2 1
Direct
0.000 0.483 0.549
0.000 0.903 0.948
0.500 0.369 0.289
0.500 0.745 0.713
```

Computed properties:
The space group is Pm.

---

Q: Which of them is the least stable? A: <one>.

---

<one>
TaAlTl2 | PBE-GGA | optimized geometry

Cell and atoms, written as POSCAR:
```
TaAlTl2
1.0
-3.760 -0.502 3.734
3.400 -4.914 -1.024
2.185 0.065 2.222
Ta Tl Al
1 2 1
Direct
0.500 0.500 0.000
0.500 0.000 0.500
0.000 0.000 0.000
0.000 0.500 0.500
```

Computed properties:
The space group is C2/m.

---

<two>
TaAlTl2 | PBE-GGA | optimized geometry

Cell and atoms, written as POSCAR:
```
TaAlTl2
1.0
-1.427 1.575 5.202
1.060 -3.674 4.118
2.861 2.241 -4.286
Al Tl Ta
1 2 1
Direct
0.250 0.750 0.500
0.000 0.000 0.000
0.500 0.500 0.000
0.750 0.250 0.500
```

Computed properties:
The space group is I4/mmm.

---

Q: Which of them is the least stable? A: <two>.

---

<one>
TaAlTl2 | PBE-GGA | optimized geometry

Cell and atoms, written as POSCAR:
```
TaAlTl2
1.0
-2.489 -1.876 4.626
2.910 -3.674 3.025
0.987 4.993 -2.282
Ta Al Tl
1 1 2
Direct
0.750 0.250 0.500
0.500 0.500 0.000
0.000 0.000 0.000
0.250 0.750 0.500
```

Computed properties:
The space group is I-4m2.

---

<two>
TaAlTl2 | PBE-GGA | optimized geometry

Cell and atoms, written as POSCAR:
```
TaAlTl2
1.0
-2.580 0.801 1.435
-0.350 -3.038 0.053
4.553 -0.378 8.398
Ta Al Tl
1 1 2
Direct
0.500 0.500 0.750
0.500 0.500 0.250
0.000 0.000 0.993
0.000 0.000 0.507
```

Computed properties:
The space group is Cmmm.

---

Q: Which of them is the least stable? A: <two>.

---

<one>
TaAlTl2 | PBE-GGA | optimized geometry

Cell and atoms, written as POSCAR:
```
TaAlTl2
1.0
-1.069 -2.481 1.408
4.623 -2.584 -1.043
2.012 1.743 4.598
Tl Ta Al
2 1 1
Direct
0.500 0.500 0.000
0.000 0.000 0.000
0.000 0.500 0.500
0.500 0.000 0.500
```

Computed properties:
The space group is Pmmm.

---

<two>
TaAlTl2 | PBE-GGA | optimized geometry

Cell and atoms, written as POSCAR:
```
TaAlTl2
1.0
-1.025 1.534 -4.504
-4.014 -0.960 0.587
-0.703 3.838 1.467
Ta Tl Al
1 2 1
Direct
0.500 0.000 0.500
0.000 0.000 0.000
0.000 0.500 0.500
0.500 0.500 0.000
```

Computed properties:
The space group is P4/mmm.

---

<three>
TaAlTl2 | PBE-GGA | optimized geometry

Cell and atoms, written as POSCAR:
```
TaAlTl2
1.0
10.106 -0.002 -0.001
9.595 3.171 -0.001
9.595 1.544 2.770
Al Tl Ta
1 2 1
Direct
0.493 0.493 0.493
0.244 0.244 0.244
0.007 0.007 0.007
0.757 0.757 0.757
```

Computed properties:
The space group is R3m.

---

Q: Which of them is the least stable? A: <two>.

---

<one>
Ta2Al2W | PBE-GGA | optimized geometry

Cell and atoms, written as POSCAR:
```
Ta2Al2W
1.0
-2.024 -2.574 -5.981
4.033 -5.414 0.965
-2.646 -1.683 1.620
Ta Al W
4 4 2
Direct
0.673 0.827 0.500
0.827 0.327 0.500
0.327 0.173 0.500
0.173 0.673 0.500
0.372 0.872 0.000
0.128 0.372 0.000
0.872 0.628 0.000
0.628 0.128 0.000
0.000 0.000 0.000
0.500 0.500 0.000
```

Computed properties:
The space group is P4/mbm.

---

<two>
Ta2Al2W | PBE-GGA | optimized geometry

Cell and atoms, written as POSCAR:
```
Ta2Al2W
1.0
-0.359 1.985 -2.818
-2.987 1.235 1.251
2.016 7.096 2.611
Ta W Al
2 1 2
Direct
0.403 0.403 0.194
0.597 0.597 0.806
0.000 0.000 0.000
0.250 0.750 0.500
0.750 0.250 0.500
```

Computed properties:
The space group is I4/mmm.

---

<three>
Ta2Al2W | PBE-GGA | optimized geometry

Cell and atoms, written as POSCAR:
```
Ta2Al2W
1.0
7.079 0.000 0.000
0.000 7.079 0.000
0.000 0.000 3.546
Ta W Al
4 2 4
Direct
0.358 0.858 0.000
0.642 0.142 0.000
0.858 0.642 0.000
0.142 0.358 0.000
0.000 0.000 0.000
0.500 0.500 0.000
0.841 0.341 0.500
0.341 0.159 0.500
0.159 0.659 0.500
0.659 0.841 0.500
```

Computed properties:
The space group is P4/mbm.

---

Q: Which of them is the least stable? A: <three>.

---

<one>
Ta4AlW | PBE-GGA | optimized geometry

Cell and atoms, written as POSCAR:
```
Ta4AlW
1.0
4.402 0.000 0.000
2.201 3.803 0.222
2.201 0.851 7.292
Al Ta W
1 4 1
Direct
0.500 0.500 0.500
0.876 0.876 0.371
0.124 0.124 0.629
0.375 0.375 0.874
0.625 0.625 0.126
0.000 0.000 0.000
```

Computed properties:
The space group is R-3m.

---

<two>
Ta4AlW | PBE-GGA | optimized geometry

Cell and atoms, written as POSCAR:
```
Ta4AlW
1.0
0.746 -4.620 -2.649
-4.237 -2.815 -1.743
-1.060 -0.282 -5.264
Ta W Al
4 1 1
Direct
0.625 0.625 0.126
0.625 0.126 0.625
0.126 0.625 0.625
0.625 0.625 0.625
0.250 0.250 0.250
0.000 0.000 0.000
```

Computed properties:
The space group is F-43m.

---

Q: Which of them is the least stable? A: <one>.